(1)
# Fe2HgBi (GGA-PBEsol, relaxed)
# **DOS(E_F)**: 4.20 states/eV/f.u.
# **Spin magnetization**: 4.4 Bohr magnetons per cell
# **Formation energy from the elements**: 0.596 eV per atom
data_Fe2HgBi
_chemical_formula_sum 'Fe2 Hg1 Bi1'
_cell_length_a 4.5625
_cell_length_b 4.5625
_cell_length_c 4.5625
_cell_angle_alpha 60.00
_cell_angle_beta 60.00
_cell_angle_gamma 60.00
_symmetry_space_group_name_H-M 'P 1'
_symmetry_Int_Tables_number 1
loop_
_symmetry_equiv_pos_as_xyz
'x,y,z'
loop_
_atom_site_label
_atom_site_type_symbol
_atom_site_fract_x
_atom_site_fract_y
_atom_site_fract_z
_atom_site_occupancy
Bi1 Bi 0.5000 0.5000 0.5000 1
Hg1 Hg 0.0000 0.0000 0.0000 1
Fe1 Fe 0.2500 0.2500 0.2500 1
Fe2 Fe 0.7500 0.7500 0.7500 1

(2)
# BaIrCl2 (GGA-PBEsol, relaxed)
# **DOS(E_F)**: 2.96 states/eV/f.u.
# **Spin magnetization**: 0.3 Bohr magnetons per cell
# **Offset from the most stable computed form**: 0.118 eV per atom
# **Formation energy from raw total energies**: -0.633 eV/atom
data_BaIrCl2
_chemical_formula_sum 'Ba1 Ir1 Cl2'
_cell_length_a 4.2478
_cell_length_b 4.5983
_cell_length_c 6.3456
_cell_angle_alpha 89.75
_cell_angle_beta 109.55
_cell_angle_gamma 90.00
_symmetry_space_group_name_H-M 'P 1'
_symmetry_Int_Tables_number 1
loop_
_symmetry_equiv_pos_as_xyz
'x,y,z'
loop_
_atom_site_label
_atom_site_type_symbol
_atom_site_fract_x
_atom_site_fract_y
_atom_site_fract_z
_atom_site_occupancy
Cl1 Cl 0.0226 0.2523 0.0451 1
Cl2 Cl 0.2441 0.7483 0.4882 1
Ba1 Ba 0.7528 0.2476 0.5057 1
Ir1 Ir 0.4805 0.2518 0.9610 1

(3)
# CaFe2Os (GGA-PBEsol, relaxed)
# **DOS(E_F)**: 7.93 states/eV/f.u.
# **Spin magnetization**: 5.2 Bohr magnetons per cell
# **Offset from the most stable computed form**: 0.364 eV per atom
# **Formation energy from the elements**: 0.792 eV per atom
data_CaFe2Os
_chemical_formula_sum 'Ca1 Fe2 Os1'
_cell_length_a 4.3574
_cell_length_b 4.3574
_cell_length_c 4.3574
_cell_angle_alpha 60.00
_cell_angle_beta 60.00
_cell_angle_gamma 60.00
_symmetry_space_group_name_H-M 'P 1'
_symmetry_Int_Tables_number 1
loop_
_symmetry_equiv_pos_as_xyz
'x,y,z'
loop_
_atom_site_label
_atom_site_type_symbol
_atom_site_fract_x
_atom_site_fract_y
_atom_site_fract_z
_atom_site_occupancy
Fe1 Fe 0.0000 0.0000 0.0000 1
Os1 Os 0.7500 0.7500 0.7500 1
Fe2 Fe 0.2500 0.2500 0.2500 1
Ca1 Ca 0.5000 0.5000 0.5000 1

(4)
# CrCoSi2 (GGA-PBEsol, relaxed)
# **DOS(E_F)**: 1.80 states/eV/f.u.
# **Spin magnetization**: 0.0 Bohr magnetons per cell
# **Formation energy from raw total energies**: -0.117 eV/atom
data_CrCoSi2
_chemical_formula_sum 'Cr1 Co1 Si2'
_cell_length_a 2.5219
_cell_length_b 2.5219
_cell_length_c 7.2163
_cell_angle_alpha 90.00
_cell_angle_beta 90.00
_cell_angle_gamma 90.00
_symmetry_space_group_name_H-M 'P 1'
_symmetry_Int_Tables_number 1
loop_
_symmetry_equiv_pos_as_xyz
'x,y,z'
loop_
_atom_site_label
_atom_site_type_symbol
_atom_site_fract_x
_atom_site_fract_y
_atom_site_fract_z
_atom_site_occupancy
Si1 Si 0.5000 0.5000 0.2835 1
Si2 Si 0.0000 0.0000 0.9797 1
Cr1 Cr 0.5000 0.5000 0.7339 1
Co1 Co 0.0000 0.0000 0.5029 1

(5)
# LiMgAl2Se (GGA-PBEsol, relaxed)
# **DOS(E_F)**: 3.03 states/eV/f.u.
# **Spin magnetization**: 0.0 Bohr magnetons per cell
# **Formation energy from raw total energies**: 0.611 eV/atom
data_LiMgAl2Se
_chemical_formula_sum 'Li1 Mg1 Al2 Se1'
_cell_length_a 4.8648
_cell_length_b 5.0548
_cell_length_c 5.0548
_cell_angle_alpha 90.00
_cell_angle_beta 90.00
_cell_angle_gamma 90.00
_symmetry_space_group_name_H-M 'P 1'
_symmetry_Int_Tables_number 1
loop_
_symmetry_equiv_pos_as_xyz
'x,y,z'
loop_
_atom_site_label
_atom_site_type_symbol
_atom_site_fract_x
_atom_site_fract_y
_atom_site_fract_z
_atom_site_occupancy
Li1 Li 0.5000 0.0000 0.0000 1
Se1 Se 0.5000 0.5000 0.5000 1
Al1 Al 0.0000 0.5000 0.0000 1
Al2 Al 0.0000 0.0000 0.5000 1
Mg1 Mg 0.0000 0.0000 0.0000 1

(6)
# K2Zr3 (GGA-PBEsol, relaxed)
# **DOS(E_F)**: 5.80 states/eV/f.u.
# **Spin magnetization**: 0.0 Bohr magnetons per cell
# **Formation energy from the elements**: 0.666 eV per atom
data_K2Zr3
_chemical_formula_sum 'K2 Zr3'
_cell_length_a 3.2090
_cell_length_b 3.2090
_cell_length_c 16.1037
_cell_angle_alpha 84.28
_cell_angle_beta 84.28
_cell_angle_gamma 60.00
_symmetry_space_group_name_H-M 'P 1'
_symmetry_Int_Tables_number 1
loop_
_symmetry_equiv_pos_as_xyz
'x,y,z'
loop_
_atom_site_label
_atom_site_type_symbol
_atom_site_fract_x
_atom_site_fract_y
_atom_site_fract_z
_atom_site_occupancy
Zr1 Zr 0.8085 0.8085 0.5746 1
Zr2 Zr 0.0000 0.0000 0.0000 1
K1 K 0.4039 0.4039 0.7884 1
K2 K 0.5961 0.5961 0.2116 1
Zr3 Zr 0.1915 0.1915 0.4254 1

(7)
# TiSi2N2 (GGA-PBEsol, relaxed)
# **DOS(E_F)**: 1.66 states/eV/f.u.
# **Spin magnetization**: 0.0 Bohr magnetons per cell
# **Formation energy from raw total energies**: -0.614 eV/atom
data_TiSi2N2
_chemical_formula_sum 'Ti2 Si4 N4'
_cell_length_a 3.3205
_cell_length_b 5.8634
_cell_length_c 5.8634
_cell_angle_alpha 90.00
_cell_angle_beta 90.00
_cell_angle_gamma 90.00
_symmetry_space_group_name_H-M 'P 1'
_symmetry_Int_Tables_number 1
loop_
_symmetry_equiv_pos_as_xyz
'x,y,z'
loop_
_atom_site_label
_atom_site_type_symbol
_atom_site_fract_x
_atom_site_fract_y
_atom_site_fract_z
_atom_site_occupancy
N1 N 0.0000 0.7099 0.7901 1
N2 N 0.0000 0.2901 0.2099 1
Ti1 Ti 0.0000 0.0000 0.0000 1
Ti2 Ti 0.0000 0.5000 0.5000 1
N3 N 0.0000 0.2099 0.7099 1
Si1 Si 0.5000 0.1407 0.6407 1
N4 N 0.0000 0.7901 0.2901 1
Si2 Si 0.5000 0.6407 0.8593 1
Si3 Si 0.5000 0.3593 0.1407 1
Si4 Si 0.5000 0.8593 0.3593 1

(8)
# MnZn4 (GGA-PBEsol, relaxed)
# **DOS(E_F)**: 2.54 states/eV/f.u.
# **Spin magnetization**: 3.0 Bohr magnetons per cell
# **Formation energy from the elements**: 0.068 eV per atom
data_MnZn4
_chemical_formula_sum 'Mn1 Zn4'
_cell_length_a 3.8123
_cell_length_b 4.6171
_cell_length_c 4.6171
_cell_angle_alpha 80.19
_cell_angle_beta 65.62
_cell_angle_gamma 65.62
_symmetry_space_group_name_H-M 'P 1'
_symmetry_Int_Tables_number 1
loop_
_symmetry_equiv_pos_as_xyz
'x,y,z'
loop_
_atom_site_label
_atom_site_type_symbol
_atom_site_fract_x
_atom_site_fract_y
_atom_site_fract_z
_atom_site_occupancy
Mn1 Mn 0.0000 0.0000 0.0000 1
Zn1 Zn 0.2035 0.3922 0.2008 1
Zn2 Zn 0.4043 0.7992 0.3922 1
Zn3 Zn 0.7965 0.6078 0.7992 1
Zn4 Zn 0.5957 0.2008 0.6078 1

(9)
# SrZn3Au (GGA-PBEsol, relaxed)
# **DOS(E_F)**: 2.36 states/eV/f.u.
# **Spin magnetization**: 0.0 Bohr magnetons per cell
# **Formation energy from the elements**: 1.185 eV per atom
data_SrZn3Au
_chemical_formula_sum 'Sr1 Zn3 Au1'
_cell_length_a 5.7546
_cell_length_b 5.7546
_cell_length_c 5.7546
_cell_angle_alpha 90.00
_cell_angle_beta 90.00
_cell_angle_gamma 90.00
_symmetry_space_group_name_H-M 'P 1'
_symmetry_Int_Tables_number 1
loop_
_symmetry_equiv_pos_as_xyz
'x,y,z'
loop_
_atom_site_label
_atom_site_type_symbol
_atom_site_fract_x
_atom_site_fract_y
_atom_site_fract_z
_atom_site_occupancy
Au1 Au 0.5000 0.5000 0.5000 1
Zn1 Zn 0.0000 0.0000 0.5000 1
Sr1 Sr 0.0000 0.0000 0.0000 1
Zn2 Zn 0.5000 0.0000 0.0000 1
Zn3 Zn 0.0000 0.5000 0.0000 1

(10)
# ZrTlP (GGA-PBEsol, relaxed)
# **DOS(E_F)**: 3.65 states/eV/f.u.
# **Spin magnetization**: 0.0 Bohr magnetons per cell
# **Formation energy from the elements**: 0.147 eV per atom
data_ZrTlP
_chemical_formula_sum 'Zr1 Tl1 P1'
_cell_length_a 4.6062
_cell_length_b 4.6062
_cell_length_c 4.6062
_cell_angle_alpha 60.00
_cell_angle_beta 60.00
_cell_angle_gamma 60.00
_symmetry_space_group_name_H-M 'P 1'
_symmetry_Int_Tables_number 1
loop_
_symmetry_equiv_pos_as_xyz
'x,y,z'
loop_
_atom_site_label
_atom_site_type_symbol
_atom_site_fract_x
_atom_site_fract_y
_atom_site_fract_z
_atom_site_occupancy
Tl1 Tl 0.5000 0.5000 0.5000 1
P1 P 0.0000 0.0000 0.0000 1
Zr1 Zr 0.2500 0.2500 0.2500 1

(11)
# CaMn2Fe (GGA-PBEsol, relaxed)
# **DOS(E_F)**: 5.69 states/eV/f.u.
# **Spin magnetization**: 7.2 Bohr magnetons per cell
# **Offset from the most stable computed form**: 0.311 eV per atom
# **Formation energy from the elements**: 0.869 eV per atom
data_CaMn2Fe
_chemical_formula_sum 'Ca1 Mn2 Fe1'
_cell_length_a 2.8434
_cell_length_b 2.8434
_cell_length_c 8.8027
_cell_angle_alpha 80.71
_cell_angle_beta 80.71
_cell_angle_gamma 60.00
_symmetry_space_group_name_H-M 'P 1'
_symmetry_Int_Tables_number 1
loop_
_symmetry_equiv_pos_as_xyz
'x,y,z'
loop_
_atom_site_label
_atom_site_type_symbol
_atom_site_fract_x
_atom_site_fract_y
_atom_site_fract_z
_atom_site_occupancy
Mn1 Mn 0.7346 0.7346 0.7961 1
Mn2 Mn 0.2654 0.2654 0.2039 1
Ca1 Ca 0.5000 0.5000 0.5000 1
Fe1 Fe 0.0000 0.0000 0.0000 1

(12)
# ScIn2Mo (GGA-PBEsol, relaxed)
# **DOS(E_F)**: 2.95 states/eV/f.u.
# **Spin magnetization**: 0.0 Bohr magnetons per cell
# **Offset from the most stable computed form**: 0.209 eV per atom
# **Formation energy from the elements**: 0.109 eV per atom
data_ScIn2Mo
_chemical_formula_sum 'Sc1 In2 Mo1'
_cell_length_a 3.0235
_cell_length_b 5.1836
_cell_length_c 5.3623
_cell_angle_alpha 111.37
_cell_angle_beta 90.00
_cell_angle_gamma 90.00
_symmetry_space_group_name_H-M 'P 1'
_symmetry_Int_Tables_number 1
loop_
_symmetry_equiv_pos_as_xyz
'x,y,z'
loop_
_atom_site_label
_atom_site_type_symbol
_atom_site_fract_x
_atom_site_fract_y
_atom_site_fract_z
_atom_site_occupancy
In1 In 0.0000 0.0000 0.0000 1
Sc1 Sc 0.0000 0.5000 0.5000 1
Mo1 Mo 0.5000 0.5000 0.0000 1
In2 In 0.5000 0.0000 0.5000 1